Entry from Alexandria: an optimized crystal structure of LaPuHgGe (PBE).

Results
symmetry = F-43m
raw total energy = -6.450 eV/atom
magnetization = 6.7 μB per formula unit
D(E_F) = 2.65 states/eV/atom

a b c (Å): 5.3258 5.3258 5.3258
angles (deg): 60.00 60.00 60.00
Last column: nearest neighbours and their distance in Å.
Fractional coordinates of all 4 atoms:
La 0.0000 0.0000 0.0000  4 Hg 3.26, 4 Ge 3.26
Pu 0.5000 0.5000 0.5000  4 Hg 3.26, 4 Ge 3.26
Hg 0.7500 0.7500 0.7500  4 Pu 3.26, 4 La 3.26
Ge 0.2500 0.2500 0.2500  4 Pu 3.26, 4 La 3.26